Density functional theory data (PBE) for a relaxed YNb3Co crystal.

It has space group Pm-3m (No. 221), with a = 4.868 Å, b = 4.868 Å, c = 4.868 Å, α = 90.00°, β = 90.00° and γ = 90.00°. The inequivalent atoms are Y at (0.000, 0.000, 0.000), Nb at (0.000, 0.000, 0.500) and Co at (0.500, 0.500, 0.500).

Its distance to the lowest polymorph of the same formula is 1989 meV/atom. Its formation energy is 2.4834 eV/atom.

Density functional theory data (PBE) for a relaxed ReS2Cl8 crystal.

It has space group P-1 (No. 2), with a = 6.247 Å, b = 7.576 Å, c = 8.247 Å, α = 73.03°, β = 78.26° and γ = 72.62°. The inequivalent atoms are Re at (0.000, 0.000, 0.000), S at (0.335, 0.781, 0.643), Cl at (0.100, 0.982, 0.266), Cl at (0.144, 0.262, 0.878), Cl at (0.340, 0.804, 0.909) and Cl at (0.348, 0.390, 0.370).

The energy relative to the elements, uncorrected comes out at -0.23 eV per atom.

Density functional theory data (PBE) for a relaxed Rb3La2PbSe6 crystal.

It has space group C2/m (No. 12), with a = 7.697 Å, b = 13.329 Å, c = 8.433 Å, α = 90.00°, β = 107.68° and γ = 90.00°. The inequivalent atoms are Rb at (0.000, 0.000, 0.000), Rb at (0.000, 0.335, 0.000), La at (0.000, 0.167, 0.500), Pb at (0.000, 0.500, 0.500), Se at (0.233, 0.000, 0.703) and Se at (0.235, 0.333, 0.703).

The energy relative to the elements, uncorrected comes out at -1.42 eV per atom.

Density functional theory data (PBE) for a relaxed Pu2SnGe3Rh4 crystal.

It has space group P-4m2 (No. 115), with a = 4.240 Å, b = 4.240 Å, c = 10.511 Å, α = 90.00°, β = 90.00° and γ = 90.00°. The inequivalent atoms are Pu at (0.000, 0.500, 0.244), Sn at (0.000, 0.000, 0.500), Ge at (0.000, 0.500, 0.875), Ge at (0.500, 0.500, 0.500), Rh at (0.000, 0.000, 0.000), Rh at (0.000, 0.500, 0.644) and Rh at (0.500, 0.500, 0.000).

Its formation energy is -0.6021 eV/atom.

Density functional theory data (PBE) for a relaxed RbCdHg4 crystal.

It has space group F-43m (No. 216), with a = 9.116 Å, b = 9.116 Å, c = 9.116 Å, α = 90.00°, β = 90.00° and γ = 90.00°. The inequivalent atoms are Rb at (0.000, 0.000, 0.000), Cd at (0.250, 0.250, 0.750) and Hg at (0.124, 0.124, 0.376).

Its distance to the lowest polymorph of the same formula is 44 meV/atom. Its formation energy is -0.0875 eV/atom.

Density functional theory data (PBE) for a relaxed Pm2TiCd crystal.

It has space group P4/mmm (No. 123), with a = 3.461 Å, b = 3.461 Å, c = 8.891 Å, α = 90.00°, β = 90.00° and γ = 90.00°. The inequivalent atoms are Pm at (0.000, 0.000, 0.241), Ti at (0.500, 0.500, 0.000) and Cd at (0.500, 0.500, 0.500).

Its distance to the lowest polymorph of the same formula is 0 meV/atom. Its formation energy is 0.0155 eV/atom.

Density functional theory data (PBE) for a relaxed Nd3In3Ir2 crystal.

It has space group C2/m (No. 12), with a = 16.709 Å, b = 4.690 Å, c = 5.347 Å, α = 90.00°, β = 101.12° and γ = 90.00°. The inequivalent atoms are Nd at (0.000, 0.000, 0.000), Nd at (0.168, 0.000, 0.587), In at (0.000, 0.500, 0.500), In at (0.134, 0.500, 0.074) and Ir at (0.217, 0.000, 0.116).

Its formation energy is -0.5324 eV/atom.

Density functional theory data (PBE) for a relaxed NaAlSiAu6 crystal.

It has space group P312 (No. 149), with a = 4.9434 Å, b = 4.9434 Å, c = 9.5818 Å, α = 90.00°, β = 90.00° and γ = 120.00°. The inequivalent atoms are Na at (0.0000, 0.0000, 0.0000), Al at (0.3333, 0.6667, 0.5000), Si at (0.6667, 0.3333, 0.5000) and Au at (0.0009, 0.3285, 0.7222).

The energy relative to the elements, uncorrected comes out at -0.02 eV per atom.

Please write out number 6 again, unchanged.
Density functional theory data (PBE) for a relaxed Pm2TiCd crystal.

It has space group P4/mmm (No. 123), with a = 3.461 Å, b = 3.461 Å, c = 8.891 Å, α = 90.00°, β = 90.00° and γ = 90.00°. The inequivalent atoms are Pm at (0.000, 0.000, 0.241), Ti at (0.500, 0.500, 0.000) and Cd at (0.500, 0.500, 0.500).

Its distance to the lowest polymorph of the same formula is 0 meV/atom. Its formation energy is 0.0155 eV/atom.